## LuZn2Rh (PBE)

Data for LuZn2Rh after structural relaxation.

abc: 3.8790 3.8790 4.5568
angles: 90.00 90.00 90.00
Closest atoms and distances in Å follow each position.
Sites, in units of the cell vectors:
Lu  0.0000  0.0000  0.0000  4 Rh 2.74, 8 Zn 2.99
Zn  0.0000  0.5000  0.5000  4 Zn 2.74, 4 Rh 2.99, 4 Lu 2.99
Zn  0.5000  0.0000  0.5000  4 Zn 2.74, 4 Rh 2.99, 4 Lu 2.99
Rh  0.5000  0.5000  0.0000  4 Lu 2.74, 8 Zn 2.99

## Properties
V: 17.14 Å³/atom
Total magnetization: 0.000 μB/f.u.
Energy relative to the elements: -0.4439 eV/atom
Fermi-level density of states: 1.9 states/eV/cell
E_tot: -4.049 eV/atom